(1)
Entry from Alexandria via LeMat-Bulk: crystalline P2RuF at its relaxed geometry (PBE).

Space group   No. 122
E_form (uncorrected)   -0.204 eV/atom
Relative energy among the computed polymorphs   0.000 eV/atom

Lattice parameters (Å, degrees): 6.580 6.580 6.580 132.47 132.47 69.48
Positions (direct):
P 0.088 0.625 0.963
P 0.375 0.338 0.463
P 0.662 0.125 0.037
P 0.875 0.912 0.537
Ru 0.000 0.000 0.000
Ru 0.750 0.250 0.500
F 0.250 0.750 0.500
F 0.500 0.500 0.000

***

(2)
Entry from Alexandria via LeMat-Bulk: crystalline AcDyTm2S4 at its relaxed geometry (PBE).

Space group   No. 10
E_form (uncorrected)   -1.924 eV/atom

Lattice parameters (Å, degrees): 6.815 3.902 7.084 90.00 108.48 90.00
Positions (direct):
Ac 0.000 0.000 0.000
Dy 0.500 0.500 0.000
Tm 0.000 0.500 0.500
Tm 0.500 0.000 0.500
S 0.255 0.000 0.732
S 0.271 0.500 0.277
S 0.729 0.500 0.723
S 0.745 0.000 0.268

***

(3)
Entry from Alexandria via LeMat-Bulk: crystalline LiScOs3 at its relaxed geometry (PBE).

E_form   891 meV per atom
Space group   No. 221
Relative energy among the computed polymorphs   0.000 eV/atom

Lattice parameters (Å, degrees): 4.193 4.193 4.193 90.00 90.00 90.00
Positions (direct):
Li 0.000 0.000 0.000
Sc 0.500 0.500 0.500
Os 0.000 0.000 0.500
Os 0.000 0.500 0.000
Os 0.500 0.000 0.000

***

(4)
Entry from Alexandria via LeMat-Bulk: crystalline LaTiMoRh2 at its relaxed geometry (PBE).

E_form   1502 meV per atom
Space group   No. 123

Lattice parameters (Å, degrees): 4.770 4.770 4.935 90.00 90.00 90.00
Positions (direct):
La 0.000 0.000 0.000
Ti 0.500 0.500 0.500
Mo 0.000 0.000 0.500
Rh 0.000 0.500 0.000
Rh 0.500 0.000 0.000

***

(5)
Entry from Alexandria via LeMat-Bulk: crystalline Na2SrGaAs2 at its relaxed geometry (PBE).

E_form   -596 meV per atom
Space group   No. 26

Lattice parameters (Å, degrees): 4.892 8.283 7.516 90.00 90.00 90.00
Positions (direct):
Na 0.000 0.083 0.000
Na 0.000 0.917 0.500
Na 0.500 0.145 0.326
Na 0.500 0.855 0.826
Sr 0.500 0.458 0.993
Sr 0.500 0.542 0.493
Ga 0.000 0.301 0.642
Ga 0.000 0.699 0.142
As 0.000 0.371 0.271
As 0.000 0.629 0.771
As 0.500 0.190 0.707
As 0.500 0.810 0.207

***

(6)
Entry from Alexandria via LeMat-Bulk: crystalline Pm6Nd8Th at its relaxed geometry (PBE).

E_form   115 meV per atom
Space group   No. 148

Lattice parameters (Å, degrees): 8.853 8.853 8.853 63.35 63.35 63.35
Positions (direct):
Pm 0.039 0.739 0.599
Pm 0.261 0.401 0.961
Pm 0.401 0.961 0.261
Pm 0.599 0.039 0.739
Pm 0.739 0.599 0.039
Pm 0.961 0.261 0.401
Nd 0.078 0.078 0.078
Nd 0.216 0.254 0.614
Nd 0.254 0.614 0.216
Nd 0.386 0.784 0.746
Nd 0.614 0.216 0.254
Nd 0.746 0.386 0.784
Nd 0.784 0.746 0.386
Nd 0.922 0.922 0.922
Th 0.500 0.500 0.500

***

The records above yield uncorrected energy values of -5.6956; -6.1940; -7.4963; -6.1693; -3.3706; -4.8231 eV/atom, respectively.